[1]
# NbBH2

A relaxed structure of NbBH2 (PBE-GGA, Alexandria via LeMat-Bulk).

Output
Total moment: 0.00 μB per cell
SG: No. 122
Energy above the most stable polymorph in this dataset: 0.0 meV/atom

POSCAR file:
```
NbBH2
1.0
-1.6562 1.6562 5.7273
1.6562 -1.6562 5.7273
1.6562 1.6562 -5.7273
Nb B H
2 2 4
Direct
0.0000 0.0000 0.0000
0.7500 0.2500 0.5000
0.2500 0.7500 0.5000
0.5000 0.5000 0.0000
0.1777 0.1250 0.5527
0.3750 0.8223 0.9473
0.5723 0.6250 0.4473
0.8750 0.4277 0.0527
```

***

[2]
# Nb2BH

A relaxed structure of Nb2BH (PBE-GGA, Alexandria via LeMat-Bulk).

Output
Total moment: 0.00 μB per cell
SG: No. 122
Energy above the most stable polymorph in this dataset: 218.5 meV/atom

POSCAR file:
```
Nb2BH
1.0
-2.8622 2.8622 2.8329
2.8622 -2.8622 2.8329
2.8622 2.8622 -2.8329
Nb B H
4 2 2
Direct
0.0857 0.6250 0.9607
0.3750 0.3357 0.4607
0.6643 0.1250 0.0393
0.8750 0.9143 0.5393
0.2500 0.7500 0.5000
0.5000 0.5000 0.0000
0.0000 0.0000 0.0000
0.7500 0.2500 0.5000
```

***

[3]
# Nb2BH

A relaxed structure of Nb2BH (PBE-GGA, Alexandria via LeMat-Bulk).

Output
Total moment: 0.00 μB per cell
SG: No. 166
Energy above the most stable polymorph in this dataset: 247.2 meV/atom

POSCAR file:
```
Nb2BH
1.0
1.6138 0.9317 6.0776
-1.6138 0.9317 6.0776
0.0000 -1.8635 6.0776
Nb B H
2 1 1
Direct
0.0976 0.0976 0.0976
0.9024 0.9024 0.9024
0.5000 0.5000 0.5000
0.0000 0.0000 0.0000
```

***

[4]
# Nb2BH

A relaxed structure of Nb2BH (PBE-GGA, Alexandria via LeMat-Bulk).

Output
Total moment: 0.00 μB per cell
SG: No. 51
Energy above the most stable polymorph in this dataset: 0.0 meV/atom

POSCAR file:
```
Nb2BH
1.0
5.2312 0.0000 0.0000
0.0000 3.2221 0.0000
0.0000 0.0000 5.4523
Nb B H
4 2 2
Direct
0.2500 0.0000 0.1654
0.2500 0.5000 0.6653
0.7500 0.0000 0.8346
0.7500 0.5000 0.3347
0.0000 0.0000 0.5000
0.5000 0.0000 0.5000
0.0000 0.5000 0.0000
0.5000 0.5000 0.0000
```

***

[5]
# Nb4B2H

A relaxed structure of Nb4B2H (PBE-GGA, Alexandria via LeMat-Bulk).

Output
Total moment: 0.00 μB per cell
SG: No. 12
Energy above the most stable polymorph in this dataset: 0.0 meV/atom

POSCAR file:
```
Nb4B2H
1.0
5.7851 -1.5933 0.0000
5.7851 1.5933 0.0000
-2.5889 0.0000 4.9105
Nb B H
4 2 1
Direct
0.1225 0.1225 0.4584
0.3784 0.3784 0.0413
0.6216 0.6216 0.9587
0.8775 0.8775 0.5416
0.2481 0.2481 0.2469
0.7519 0.7519 0.7531
0.5000 0.5000 0.5000
```

***

[6]
# Nb4B2H

A relaxed structure of Nb4B2H (PBE-GGA, Alexandria via LeMat-Bulk).

Output
Total moment: 0.00 μB per cell
SG: No. 139
Energy above the most stable polymorph in this dataset: 272.8 meV/atom

POSCAR file:
```
Nb4B2H
1.0
-1.8291 1.8291 6.6984
1.8291 -1.8291 6.6984
1.8291 1.8291 -6.6984
Nb B H
4 2 1
Direct
0.0000 0.5000 0.5000
0.1833 0.1833 0.0000
0.5000 0.0000 0.5000
0.8167 0.8167 0.0000
0.3627 0.3627 0.0000
0.6373 0.6373 0.0000
0.0000 0.0000 0.0000
```

***

[7]
# NbBH2Ru

A relaxed structure of NbBH2Ru (PBE-GGA, Alexandria via LeMat-Bulk).

Output
VASP energy: -0.3991 Ry/atom
Total moment: 0.64 μB per cell
SG: No. 123

POSCAR file:
```
NbBH2Ru
1.0
3.4825 0.0000 0.0000
0.0000 3.4825 0.0000
0.0000 0.0000 4.6785
Nb B H Ru
1 1 2 1
Direct
0.0000 0.0000 0.0000
0.0000 0.0000 0.5000
0.0000 0.5000 0.5000
0.5000 0.0000 0.5000
0.5000 0.5000 0.0000
```

***

[8]
# SrNb2BH

A relaxed structure of SrNb2BH (PBE-GGA, Alexandria via LeMat-Bulk).

Output
VASP energy: -0.4050 Ry/atom
Total moment: 2.25 μB per cell
SG: No. 123

POSCAR file:
```
SrNb2BH
1.0
4.2726 0.0000 0.0000
0.0000 4.2726 0.0000
0.0000 0.0000 6.0492
Sr Nb B H
1 2 1 1
Direct
0.0000 0.0000 0.0000
0.0000 0.5000 0.5000
0.5000 0.0000 0.5000
0.0000 0.0000 0.5000
0.5000 0.5000 0.0000
```

***

N(E_F) values, unit states/eV/cell, following the record order: 0.3 4.4 1.4 4.0 4.5 0.8 3.0 5.9.